Entry from the Alexandria database: crystalline Li4Tl3Hg2 at its relaxed geometry (PBE-GGA).

```
data_Li4Tl3Hg2
_chemical_formula_sum 'Li4 Tl3 Hg2'
_cell_length_a 4.890
_cell_length_b 4.891
_cell_length_c 9.151
_cell_angle_alpha 89.98
_cell_angle_beta 89.99
_cell_angle_gamma 60.02
_symmetry_space_group_name_H-M 'P -1'
_symmetry_Int_Tables_number 2
loop_
_symmetry_equiv_pos_as_xyz
'x,y,z'
'-x,-y,-z'
loop_
_atom_site_label
_atom_site_type_symbol
_atom_site_fract_x
_atom_site_fract_y
_atom_site_fract_z
Li1 Li 0.000 0.002 0.180
Li2 Li 0.333 0.332 0.606
Tl1 Tl 0.000 0.000 0.500
Tl2 Tl 0.333 0.333 0.923
Hg1 Hg 0.333 0.335 0.298
```

Summary:
The crystal system is triclinic.

Entry from the Alexandria database: crystalline Li2Tl2Hg7 at its relaxed geometry (PBE-GGA).

```
data_Li2Tl2Hg7
_chemical_formula_sum 'Li4 Tl4 Hg14'
_cell_length_a 11.016
_cell_length_b 8.949
_cell_length_c 5.921
_cell_angle_alpha 90.00
_cell_angle_beta 102.80
_cell_angle_gamma 90.00
_symmetry_space_group_name_H-M 'C 1 2/m 1'
_symmetry_Int_Tables_number 12
loop_
_symmetry_equiv_pos_as_xyz
'x,y,z'
'-x,-y,-z'
'-x,y,-z'
'x,-y,z'
'x+1/2,y+1/2,z'
'-x+1/2,-y+1/2,-z'
'-x+1/2,y+1/2,-z'
'x+1/2,-y+1/2,z'
loop_
_atom_site_label
_atom_site_type_symbol
_atom_site_fract_x
_atom_site_fract_y
_atom_site_fract_z
Li1 Li 0.238 0.000 0.316
Tl1 Tl 0.000 0.180 0.000
Hg1 Hg 0.000 0.000 0.500
Hg2 Hg 0.014 0.500 0.748
Hg3 Hg 0.240 0.177 0.741
```

Summary:
The crystal system is monoclinic. The offset from the most stable computed form is 24 meV/atom.

Entry from the Alexandria database: crystalline Li3Tl5Hg12 at its relaxed geometry (PBE-GGA).

```
data_Li3Tl5Hg12
_chemical_formula_sum 'Li24 Tl40 Hg96'
_cell_length_a 17.218
_cell_length_b 17.218
_cell_length_c 17.218
_cell_angle_alpha 90.00
_cell_angle_beta 90.00
_cell_angle_gamma 90.00
_symmetry_space_group_name_H-M 'I a -3 d'
_symmetry_Int_Tables_number 230
_symmetry_space_group_name_Hall '-I 4bd 2c 3'
loop_
_atom_site_label
_atom_site_type_symbol
_atom_site_fract_x
_atom_site_fract_y
_atom_site_fract_z
Li1 Li 0.000 0.250 0.125
Tl1 Tl 0.000 0.000 0.000
Tl2 Tl 0.000 0.250 0.375
Hg1 Hg 0.015 0.095 0.651
```

Summary:
The crystal system is cubic.

Entry from the Alexandria database: crystalline Li4Tl2Hg at its relaxed geometry (PBE-GGA).

```
data_Li4Tl2Hg
_chemical_formula_sum 'Li8 Tl4 Hg2'
_cell_length_a 5.551
_cell_length_b 11.321
_cell_length_c 5.055
_cell_angle_alpha 90.00
_cell_angle_beta 90.00
_cell_angle_gamma 90.00
_symmetry_space_group_name_H-M 'C m m m'
_symmetry_Int_Tables_number 65
_symmetry_space_group_name_Hall '-C 2 2'
loop_
_atom_site_label
_atom_site_type_symbol
_atom_site_fract_x
_atom_site_fract_y
_atom_site_fract_z
Li1 Li 0.000 0.121 0.000
Li2 Li 0.000 0.256 0.500
Tl1 Tl 0.000 0.368 0.000
Hg1 Hg 0.000 0.000 0.500
```

Summary:
The crystal system is orthorhombic. The offset from the most stable computed form is 70 meV/atom.

Entry from the Alexandria database: crystalline Li3Tl2Hg at its relaxed geometry (PBE-GGA).

```
data_Li3Tl2Hg
_chemical_formula_sum 'Li6 Tl4 Hg2'
_cell_length_a 4.888
_cell_length_b 6.737
_cell_length_c 7.688
_cell_angle_alpha 90.00
_cell_angle_beta 107.79
_cell_angle_gamma 90.00
_symmetry_space_group_name_H-M 'P 1 2/m 1'
_symmetry_Int_Tables_number 10
loop_
_symmetry_equiv_pos_as_xyz
'x,y,z'
'-x,-y,-z'
'-x,y,-z'
'x,-y,z'
loop_
_atom_site_label
_atom_site_type_symbol
_atom_site_fract_x
_atom_site_fract_y
_atom_site_fract_z
Li1 Li 0.000 0.247 0.000
Li2 Li 0.329 0.235 0.657
Tl1 Tl 0.167 0.500 0.335
Tl2 Tl 0.500 0.000 0.000
Tl3 Tl 0.500 0.500 0.000
Hg1 Hg 0.163 0.000 0.326
```

Summary:
The crystal system is monoclinic. The offset from the most stable computed form is 0 meV/atom.

Entry from the Alexandria database: crystalline LiTlHg2 at its relaxed geometry (PBE-GGA).

```
data_LiTlHg2
_chemical_formula_sum 'Li4 Tl4 Hg8'
_cell_length_a 7.322
_cell_length_b 7.322
_cell_length_c 7.322
_cell_angle_alpha 90.00
_cell_angle_beta 90.00
_cell_angle_gamma 90.00
_symmetry_space_group_name_H-M 'F m -3 m'
_symmetry_Int_Tables_number 225
_symmetry_space_group_name_Hall '-F 4 2 3'
loop_
_atom_site_label
_atom_site_type_symbol
_atom_site_fract_x
_atom_site_fract_y
_atom_site_fract_z
Li1 Li 0.000 0.000 0.000
Tl1 Tl 0.000 0.000 0.500
Hg1 Hg 0.250 0.250 0.250
```

Summary:
The crystal system is cubic. The offset from the most stable computed form is 31 meV/atom.

Short version: energy of formation = -23.2 -8.4 5.4 -6.0 -26.6 -14.3 kJ/mol of atoms, in the order given.